A | Computed, not measured: a relaxed TmBOs crystal at the PBE level of DFT.

Cell lengths 4.3285, 4.3285, 4.3285 Å; angles 60.00, 60.00, 60.00 degrees
Closest atoms and distances in Å follow each position.
Element x y z (fractional)
Tm 0.0000 0.0000 0.0000  4 Os 2.65, 4 B 2.65
B 0.7500 0.7500 0.7500  4 Tm 2.65
Os 0.2500 0.2500 0.2500  4 Tm 2.65

symmetry: No. 216
magnetization: 0.0021 μB/atom
theoretical density: 10.71 g cm⁻³



B | Computed, not measured: a relaxed TmBOs crystal at the PBE level of DFT.

Cell lengths 4.0447, 4.0447, 4.0447 Å; angles 60.00, 60.00, 60.00 degrees
Closest atoms and distances in Å follow each position.
Element x y z (fractional)
Tm 0.0000 0.0000 0.0000  4 B 2.48
B 0.7500 0.7500 0.7500  4 Os 2.48, 4 Tm 2.48
Os 0.5000 0.5000 0.5000  4 B 2.48

symmetry: No. 216
magnetization: 0.0041 μB/atom
theoretical density: 13.13 g cm⁻³



Which of them is most stable, and which least? Most stable: B; least stable: A.



A | Computed, not measured: a relaxed B4OsW crystal at the PBE level of DFT.

Cell lengths 4.5972, 4.5972, 4.5972 Å; angles 142.34, 112.49, 79.97 degrees
Closest atoms and distances in Å follow each position.
Element x y z (fractional)
B 0.0750 0.2444 0.8305  3 B 1.70-1.73
B 0.4139 0.2444 0.1695  3 B 1.70-1.73
B 0.5861 0.7556 0.8305  3 B 1.70-1.73
B 0.9250 0.7556 0.1695  3 B 1.70-1.73
Os 0.5000 0.0000 0.5000  12 B 2.41-2.49
W 0.0000 0.5000 0.5000  12 B 2.43-2.47

symmetry: No. 71
magnetization: 0.0001 μB/atom
theoretical density: 12.98 g cm⁻³



B | Computed, not measured: a relaxed B4OsW crystal at the PBE level of DFT.

Cell lengths 2.9676, 2.9676, 6.9939 Å; angles 90.00, 90.00, 120.00 degrees
Closest atoms and distances in Å follow each position.
Element x y z (fractional)
B 0.3333 0.6667 0.2454  3 B 1.71
B 0.3333 0.6667 0.7546  3 B 1.71
B 0.6667 0.3333 0.2454  3 B 1.71
B 0.6667 0.3333 0.7546  3 B 1.71
Os 0.0000 0.0000 0.5000  12 B 2.47
W 0.0000 0.0000 0.0000  12 B 2.43

symmetry: No. 191
magnetization: 0.0027 μB/atom
theoretical density: 12.99 g cm⁻³



Which of them is most stable, and which least? Most stable: B; least stable: A.